Entry 1:
Density functional theory data (GGA-PBEsol) for a geometry-optimized AgPbNF2 structure.

Geometry as CIF:
```
data_AgPbNF2
_chemical_formula_sum 'Ag1 Pb1 N1 F2'
_space_group_name_H-M_alt 'P 4/m m m'
_space_group_IT_number 123
_space_group_name_Hall '-P 4 2'
_cell_length_a 4.420
_cell_length_b 4.420
_cell_length_c 4.147
_cell_angle_alpha 90.00
_cell_angle_beta 90.00
_cell_angle_gamma 90.00
loop_
_atom_site_label
_atom_site_type_symbol
_atom_site_fract_x
_atom_site_fract_y
_atom_site_fract_z
Ag1 Ag 0.000 0.000 0.000
Pb1 Pb 0.500 0.500 0.500
N1 N 0.500 0.500 0.000
F1 F 0.000 0.500 0.500
```

Properties
Formation energy (no corrections) = -0.237 eV/atom

Entry 2:
Density functional theory data (GGA-PBEsol) for a geometry-optimized TiFeTeN2 structure.

Geometry as CIF:
```
data_TiFeTeN2
_chemical_formula_sum 'Ti1 Fe1 Te1 N2'
_space_group_name_H-M_alt 'P 4/m m m'
_space_group_IT_number 123
_space_group_name_Hall '-P 4 2'
_cell_length_a 3.832
_cell_length_b 3.832
_cell_length_c 5.669
_cell_angle_alpha 90.00
_cell_angle_beta 90.00
_cell_angle_gamma 90.00
loop_
_atom_site_label
_atom_site_type_symbol
_atom_site_fract_x
_atom_site_fract_y
_atom_site_fract_z
Ti1 Ti 0.000 0.000 0.000
Fe1 Fe 0.500 0.500 0.500
Te1 Te 0.000 0.000 0.500
N1 N 0.000 0.500 0.000
```

Properties
Formation energy (no corrections) = 0.564 eV/atom

Entry 3:
Density functional theory data (GGA-PBEsol) for a geometry-optimized KBa2Rh structure.

Geometry as CIF:
```
data_KBa2Rh
_chemical_formula_sum 'K2 Ba4 Rh2'
_space_group_name_H-M_alt 'C 1 2/m 1'
_space_group_IT_number 12
_cell_length_a 7.704
_cell_length_b 4.449
_cell_length_c 11.284
_cell_angle_alpha 90.00
_cell_angle_beta 103.30
_cell_angle_gamma 90.00
loop_
_space_group_symop_operation_xyz
'x,y,z'
'-x,-y,-z'
'-x,y,-z'
'x,-y,z'
'x+1/2,y+1/2,z'
'-x+1/2,-y+1/2,-z'
'-x+1/2,y+1/2,-z'
'x+1/2,-y+1/2,z'
loop_
_atom_site_label
_atom_site_type_symbol
_atom_site_fract_x
_atom_site_fract_y
_atom_site_fract_z
K1 K 0.000 0.000 0.000
Ba1 Ba 0.216 0.000 0.647
Rh1 Rh 0.000 0.500 0.500
```

Properties
DFT formation energy = -0.037 eV/atom

Entry 4:
Density functional theory data (GGA-PBEsol) for a geometry-optimized CsMoPRu2 structure.

Geometry as CIF:
```
data_CsMoPRu2
_chemical_formula_sum 'Cs1 Mo1 P1 Ru2'
_space_group_name_H-M_alt 'P 4/m m m'
_space_group_IT_number 123
_space_group_name_Hall '-P 4 2'
_cell_length_a 4.607
_cell_length_b 4.607
_cell_length_c 5.511
_cell_angle_alpha 90.00
_cell_angle_beta 90.00
_cell_angle_gamma 90.00
loop_
_atom_site_label
_atom_site_type_symbol
_atom_site_fract_x
_atom_site_fract_y
_atom_site_fract_z
Cs1 Cs 0.000 0.000 0.000
Mo1 Mo 0.000 0.000 0.500
P1 P 0.500 0.500 0.000
Ru1 Ru 0.000 0.500 0.500
```

Properties
DFT formation energy = 1.999 eV/atom

Entry 5:
Density functional theory data (GGA-PBEsol) for a geometry-optimized InOs2Pt structure.

Geometry as CIF:
```
data_InOs2Pt
_chemical_formula_sum 'In2 Os4 Pt2'
_space_group_name_H-M_alt 'C m m m'
_space_group_IT_number 65
_space_group_name_Hall '-C 2 2'
_cell_length_a 2.802
_cell_length_b 4.813
_cell_length_c 9.329
_cell_angle_alpha 90.00
_cell_angle_beta 90.00
_cell_angle_gamma 90.00
loop_
_atom_site_label
_atom_site_type_symbol
_atom_site_fract_x
_atom_site_fract_y
_atom_site_fract_z
In1 In 0.000 0.000 0.000
Os1 Os 0.000 0.500 0.255
Pt1 Pt 0.000 0.000 0.500
```

Properties
DFT formation energy = 0.691 eV/atom

Entry 6:
Density functional theory data (GGA-PBEsol) for a geometry-optimized Cu2SiF2 structure.

Geometry as CIF:
```
data_Cu2SiF2
_chemical_formula_sum 'Cu4 Si2 F4'
_space_group_name_H-M_alt 'I 4/m m m'
_space_group_IT_number 139
_space_group_name_Hall '-I 4 2'
_cell_length_a 4.658
_cell_length_b 4.658
_cell_length_c 5.629
_cell_angle_alpha 90.00
_cell_angle_beta 90.00
_cell_angle_gamma 90.00
loop_
_atom_site_label
_atom_site_type_symbol
_atom_site_fract_x
_atom_site_fract_y
_atom_site_fract_z
Cu1 Cu 0.000 0.500 0.250
Si1 Si 0.000 0.000 0.000
F1 F 0.000 0.000 0.308
```

Properties
Formation energy (no corrections) = -0.484 eV/atom

Entry 7:
Density functional theory data (GGA-PBEsol) for a geometry-optimized YMn2Al structure.

Geometry as CIF:
```
data_YMn2Al
_chemical_formula_sum 'Y2 Mn4 Al2'
_space_group_name_H-M_alt 'C 1 2/m 1'
_space_group_IT_number 12
_cell_length_a 8.612
_cell_length_b 3.277
_cell_length_c 5.045
_cell_angle_alpha 90.00
_cell_angle_beta 105.64
_cell_angle_gamma 90.00
loop_
_space_group_symop_operation_xyz
'x,y,z'
'-x,-y,-z'
'-x,y,-z'
'x,-y,z'
'x+1/2,y+1/2,z'
'-x+1/2,-y+1/2,-z'
'-x+1/2,y+1/2,-z'
'x+1/2,-y+1/2,z'
loop_
_atom_site_label
_atom_site_type_symbol
_atom_site_fract_x
_atom_site_fract_y
_atom_site_fract_z
Y1 Y 0.000 0.000 0.000
Mn1 Mn 0.241 0.000 0.627
Al1 Al 0.000 0.500 0.500
```

Properties
DFT formation energy = 0.121 eV/atom

Entry 8:
Density functional theory data (GGA-PBEsol) for a geometry-optimized PrFeNi4 structure.

Geometry as CIF:
```
data_PrFeNi4
_chemical_formula_sum 'Pr1 Fe1 Ni4'
_space_group_name_H-M_alt 'P -6 m 2'
_space_group_IT_number 187
_space_group_name_Hall 'P -6 2'
_cell_length_a 4.9472
_cell_length_b 4.9472
_cell_length_c 3.8947
_cell_angle_alpha 90.00
_cell_angle_beta 90.00
_cell_angle_gamma 120.00
loop_
_atom_site_label
_atom_site_type_symbol
_atom_site_fract_x
_atom_site_fract_y
_atom_site_fract_z
Pr1 Pr 0.0000 0.0000 0.0000
Fe1 Fe 0.6667 0.3333 0.0000
Ni1 Ni 0.0005 0.5003 0.5000
Ni2 Ni 0.3333 0.6667 0.0000
```

Properties
DFT formation energy = -0.166 eV/atom

Entry 9:
Density functional theory data (GGA-PBEsol) for a geometry-optimized Li2TaAg structure.

Geometry as CIF:
```
data_Li2TaAg
_chemical_formula_sum 'Li4 Ta2 Ag2'
_space_group_name_H-M_alt 'C m m m'
_space_group_IT_number 65
_space_group_name_Hall '-C 2 2'
_cell_length_a 5.609
_cell_length_b 9.111
_cell_length_c 2.599
_cell_angle_alpha 90.00
_cell_angle_beta 90.00
_cell_angle_gamma 90.00
loop_
_atom_site_label
_atom_site_type_symbol
_atom_site_fract_x
_atom_site_fract_y
_atom_site_fract_z
Li1 Li 0.250 0.250 0.000
Ta1 Ta 0.000 0.000 0.500
Ag1 Ag 0.000 0.500 0.500
```

Properties
DFT formation energy = 0.447 eV/atom

Entry 10:
Density functional theory data (GGA-PBEsol) for a geometry-optimized MgAg3As structure.

Geometry as CIF:
```
data_MgAg3As
_chemical_formula_sum 'Mg1 Ag3 As1'
_space_group_name_H-M_alt 'P m -3 m'
_space_group_IT_number 221
_space_group_name_Hall '-P 4 2 3'
_cell_length_a 4.772
_cell_length_b 4.772
_cell_length_c 4.772
_cell_angle_alpha 90.00
_cell_angle_beta 90.00
_cell_angle_gamma 90.00
loop_
_atom_site_label
_atom_site_type_symbol
_atom_site_fract_x
_atom_site_fract_y
_atom_site_fract_z
Mg1 Mg 0.000 0.000 0.000
Ag1 Ag 0.000 0.000 0.500
As1 As 0.500 0.500 0.500
```

Properties
DFT formation energy = 0.842 eV/atom

Entry 11:
Density functional theory data (GGA-PBEsol) for a geometry-optimized Ba2CaMn structure.

Geometry as CIF:
```
data_Ba2CaMn
_chemical_formula_sum 'Ba6 Ca3 Mn3'
_space_group_name_H-M_alt 'R -3 m'
_space_group_IT_number 166
_space_group_name_Hall '-R 3 2"'
_cell_length_a 4.0283
_cell_length_b 4.0283
_cell_length_c 34.9465
_cell_angle_alpha 90.00
_cell_angle_beta 90.00
_cell_angle_gamma 120.00
loop_
_atom_site_label
_atom_site_type_symbol
_atom_site_fract_x
_atom_site_fract_y
_atom_site_fract_z
Ba1 Ba 0.0000 0.0000 0.2328
Ca1 Ca 0.0000 0.0000 0.0000
Mn1 Mn 0.0000 0.0000 0.5000
```

Properties
DFT formation energy = 0.545 eV/atom

Entry 12:
Density functional theory data (GGA-PBEsol) for a geometry-optimized Ni2RuF2 structure.

Geometry as CIF:
```
data_Ni2RuF2
_chemical_formula_sum 'Ni4 Ru2 F4'
_space_group_name_H-M_alt 'I 4/m m m'
_space_group_IT_number 139
_space_group_name_Hall '-I 4 2'
_cell_length_a 3.229
_cell_length_b 3.229
_cell_length_c 10.385
_cell_angle_alpha 90.00
_cell_angle_beta 90.00
_cell_angle_gamma 90.00
loop_
_atom_site_label
_atom_site_type_symbol
_atom_site_fract_x
_atom_site_fract_y
_atom_site_fract_z
Ni1 Ni 0.000 0.000 0.118
Ru1 Ru 0.000 0.000 0.500
F1 F 0.000 0.500 0.250
```

Properties
Formation energy (no corrections) = -0.253 eV/atom

| no. | ρ (g/cm³) | volume (A^3/atom) |
| --- | --- | --- |
| 1 | 7.52 | 16.20 |
| 2 | 5.17 | 16.65 |
| 3 | 3.68 | 47.05 |
| 4 | 6.56 | 23.39 |
| 5 | 18.22 | 15.73 |
| 6 | 5.25 | 12.21 |
| 7 | 5.47 | 17.13 |
| 8 | 8.68 | 13.76 |
| 9 | 7.57 | 16.60 |
| 10 | 6.46 | 21.74 |
| 11 | 3.75 | 40.93 |
| 12 | 7.87 | 10.83 |